1.
Below is a geometry-optimized TaGa2Bi structure, with properties calculated at the PBE level.

- uncorrected energy (eV per cell) = -79.9

Cell: 4.2716 4.2716 19.6003 Å, 90.00 90.00 90.00°
Space group I-42d (No. 122)
Inequivalent atoms, fractional coordinates:
Ta 0.0000 0.0000 0.0000 x4
Ga 0.1733 0.2500 0.1250 x8
Bi 0.0000 0.0000 0.5000 x4

2.
Below is a geometry-optimized TaGa3Bi structure, with properties calculated at the PBE level.

- energy relative to the lowest polymorph listed for this composition (kJ/mol of formula units) = 500.4

Cell: 5.3693 5.3693 5.3693 Å, 90.00 90.00 90.00°
Space group Pm-3m (No. 221)
Inequivalent atoms, fractional coordinates:
Ta 0.0000 0.0000 0.0000 x1
Ga 0.0000 0.5000 0.5000 x3
Bi 0.5000 0.5000 0.5000 x1

3.
Below is a geometry-optimized Ta2Ga2Bi structure, with properties calculated at the PBE level.

- uncorrected energy (eV per cell) = -65.0

Cell: 8.2914 8.2914 2.9456 Å, 90.00 90.00 90.00°
Space group P4/mbm (No. 127)
Inequivalent atoms, fractional coordinates:
Ta 0.1173 0.3827 0.0000 x4
Ga 0.1722 0.6722 0.5000 x4
Bi 0.0000 0.0000 0.5000 x2

4.
Below is a geometry-optimized TaGaBi2 structure, with properties calculated at the PBE level.

- uncorrected energy (eV per cell) = -78.5

Cell: 6.6483 6.6483 12.9695 Å, 90.00 90.00 90.00°
Space group I-42d (No. 122)
Inequivalent atoms, fractional coordinates:
Ta 0.0000 0.0000 0.0000 x4
Ga 0.0000 0.0000 0.5000 x4
Bi 0.2283 0.2500 0.1250 x8

5.
Below is a geometry-optimized TaGa3Bi structure, with properties calculated at the PBE level.

- energy relative to the lowest polymorph listed for this composition (kJ/mol of formula units) = 0.0

Cell: 5.0816 5.0816 5.0816 Å, 90.00 90.00 90.00°
Space group Pm-3m (No. 221)
Inequivalent atoms, fractional coordinates:
Ta 0.0000 0.0000 0.0000 x1
Ga 0.0000 0.0000 0.5000 x3
Bi 0.5000 0.5000 0.5000 x1

6.
Below is a geometry-optimized Ta2GaBi structure, with properties calculated at the PBE level.

- energy relative to the lowest polymorph listed for this composition (kJ/mol of formula units) = 23.3

Cell: 4.1031 4.1031 20.2798 Å, 90.00 90.00 90.00°
Space group I-42d (No. 122)
Inequivalent atoms, fractional coordinates:
Ta 0.2291 0.2500 0.1250 x8
Ga 0.0000 0.0000 0.0000 x4
Bi 0.0000 0.0000 0.5000 x4